K4Pr3PaS8 | GGA-PBE | relaxed Values from VASP.

D(E_F) (states/eV/f.u.): 10.1
Energy relative to the elements, uncorrected (eV/atom): -1.737
Magnetic moment (μB per formula unit): 1.809

Geometry as Quantum ESPRESSO input:
```
&SYSTEM
  ibrav = 0, nat = 16, ntyp = 4
/
ATOMIC_SPECIES
K 39.10 K.upf
Pr 140.91 Pr.upf
Pa 231.04 Pa.upf
S 32.06 S.upf
ATOMIC_POSITIONS angstrom
K 0.000 0.000 0.000
K -2.091 -1.207 7.414
K -2.091 1.207 14.829
K 0.000 2.415 7.414
Pr -4.182 0.000 11.122
Pr -2.091 1.207 3.707
Pr 2.091 1.207 3.707
Pa 0.000 0.000 11.122
S 0.000 0.000 5.287
S -2.013 -1.162 12.660
S 0.000 -2.325 9.583
S -2.013 1.162 9.583
S 2.013 -1.162 12.660
S 0.000 2.325 12.660
S 2.013 1.162 9.583
S 0.000 0.000 16.956
CELL_PARAMETERS angstrom
4.182 2.415 7.414
-4.182 2.415 7.414
0.000 -4.829 7.414
```

---

CsSn2Hg2 | GGA-PBE | relaxed Values from VASP.

Formation energy from the elements (eV per atom): -0.140
Excess energy over the best structure of this formula in the dataset (meV per atom): 9
D(E_F) (states/eV/f.u.): 2.0
Magnetic moment (μB per formula unit): 0.000

Geometry as Quantum ESPRESSO input:
```
&SYSTEM
  ibrav = 0, nat = 5, ntyp = 3
/
ATOMIC_SPECIES
Cs 132.91 Cs.upf
Sn 118.71 Sn.upf
Hg 200.59 Hg.upf
ATOMIC_POSITIONS angstrom
Cs 0.000 0.000 0.000
Sn 2.483 0.000 3.327
Sn 0.000 2.483 3.327
Hg 0.000 0.000 5.169
Hg 0.000 0.000 8.137
CELL_PARAMETERS angstrom
-2.483 2.483 6.653
2.483 -2.483 6.653
2.483 2.483 -6.653
```

---

Sc2SbS | GGA-PBE | relaxed Values from VASP.

Excess energy over the best structure of this formula in the dataset (meV per atom): 438
D(E_F) (states/eV/f.u.): 3.1
Energy relative to the elements, uncorrected (eV/atom): -0.987
Magnetic moment (μB per formula unit): 0.000

Geometry as Quantum ESPRESSO input:
```
&SYSTEM
  ibrav = 0, nat = 8, ntyp = 3
/
ATOMIC_SPECIES
Sc 44.96 Sc.upf
Sb 121.76 Sb.upf
S 32.06 S.upf
ATOMIC_POSITIONS angstrom
Sc 4.617 1.284 -1.540
Sc 1.284 1.539 1.540
Sc -1.539 1.794 4.620
Sc 1.794 1.539 7.701
Sb 3.078 0.000 3.080
Sb 0.000 0.000 6.161
S 0.000 0.000 0.000
S 0.000 3.078 3.080
CELL_PARAMETERS angstrom
-3.078 3.078 6.161
3.078 -3.078 6.161
3.078 3.078 -6.161
```

---

YZrPt2 | GGA-PBE | relaxed Values from VASP.

Formation energy from the elements (eV per atom): -1.163
D(E_F) (states/eV/f.u.): 3.1
Magnetic moment (μB per formula unit): 0.000

Geometry as Quantum ESPRESSO input:
```
&SYSTEM
  ibrav = 0, nat = 8, ntyp = 3
/
ATOMIC_SPECIES
Y 88.91 Y.upf
Zr 91.22 Zr.upf
Pt 195.08 Pt.upf
ATOMIC_POSITIONS angstrom
Y 0.232 1.108 2.944
Y 2.948 3.324 3.915
Zr -0.995 1.108 6.390
Zr 4.175 3.324 0.468
Pt 1.298 3.324 1.236
Pt 0.104 3.324 5.019
Pt 3.076 1.108 1.839
Pt 1.882 1.108 5.622
CELL_PARAMETERS angstrom
5.512 0.000 0.000
0.000 4.432 0.000
-2.332 0.000 6.858
```

---

NaCdPt2 | GGA-PBE | relaxed Values from VASP.

Formation energy from the elements (eV per atom): 0.091
D(E_F) (states/eV/f.u.): 2.0
Magnetic moment (μB per formula unit): 0.000

Geometry as Quantum ESPRESSO input:
```
&SYSTEM
  ibrav = 0, nat = 8, ntyp = 3
/
ATOMIC_SPECIES
Na 22.99 Na.upf
Cd 112.41 Cd.upf
Pt 195.08 Pt.upf
ATOMIC_POSITIONS angstrom
Na 0.000 0.000 0.000
Na 0.000 3.847 1.352
Cd 3.847 0.000 1.352
Cd 0.000 0.000 2.705
Pt 1.924 2.100 -0.676
Pt 5.595 1.924 0.676
Pt 1.924 1.747 2.029
Pt -1.747 1.924 3.381
CELL_PARAMETERS angstrom
-3.847 3.847 2.705
3.847 -3.847 2.705
3.847 3.847 -2.705
```

---

MnTcAs2 | GGA-PBE | relaxed Values from VASP.

Formation energy from the elements (eV per atom): 0.351
Excess energy over the best structure of this formula in the dataset (meV per atom): 458
D(E_F) (states/eV/f.u.): 2.3
Magnetic moment (μB per formula unit): 3.197

Geometry as Quantum ESPRESSO input:
```
&SYSTEM
  ibrav = 0, nat = 4, ntyp = 3
/
ATOMIC_SPECIES
Mn 54.94 Mn.upf
Tc 98.00 Tc.upf
As 74.92 As.upf
ATOMIC_POSITIONS angstrom
Mn 0.000 0.000 0.000
Tc 4.696 4.696 4.696
As 1.565 1.565 1.565
As 3.131 3.131 3.131
CELL_PARAMETERS angstrom
0.000 3.131 3.131
3.131 0.000 3.131
3.131 3.131 0.000
```

---

Ca2TmP3Pt12 | GGA-PBE | relaxed Values from VASP.

Formation energy from the elements (eV per atom): -0.435
D(E_F) (states/eV/f.u.): 5.9
Magnetic moment (μB per formula unit): 0.000

Geometry as Quantum ESPRESSO input:
```
&SYSTEM
  ibrav = 0, nat = 18, ntyp = 4
/
ATOMIC_SPECIES
Ca 40.08 Ca.upf
Tm 168.93 Tm.upf
P 30.97 P.upf
Pt 195.08 Pt.upf
ATOMIC_POSITIONS angstrom
Ca 0.000 0.000 1.688
Ca 0.000 0.000 15.895
Tm 0.000 0.000 8.792
P -2.085 -1.204 5.861
P -2.085 1.204 11.722
P 0.000 2.408 5.861
Pt -2.240 -1.293 8.144
Pt 0.000 -2.117 5.397
Pt -1.834 1.059 5.397
Pt 0.000 -2.587 9.440
Pt -2.240 1.293 9.440
Pt -1.834 -1.059 12.187
Pt 1.834 1.059 5.397
Pt 2.240 -1.293 8.144
Pt 0.000 2.587 8.144
Pt 1.834 -1.059 12.187
Pt 0.000 2.117 12.187
Pt 2.240 1.293 9.440
CELL_PARAMETERS angstrom
4.171 2.408 5.861
-4.171 2.408 5.861
0.000 -4.816 5.861
```

---

AlP4Cl | GGA-PBE | relaxed Values from VASP.

Excess energy over the best structure of this formula in the dataset (meV per atom): 0
Energy relative to the elements, uncorrected (eV/atom): -0.271
Magnetic moment (μB per formula unit): 0.000

Geometry as Quantum ESPRESSO input:
```
&SYSTEM
  ibrav = 0, nat = 12, ntyp = 3
/
ATOMIC_SPECIES
Al 26.98 Al.upf
P 30.97 P.upf
Cl 35.45 Cl.upf
ATOMIC_POSITIONS angstrom
Al 0.003 1.607 0.889
Al 1.186 5.312 8.802
P -0.657 6.722 4.020
P 0.001 -1.103 5.957
P -0.660 6.799 7.979
P 0.004 -0.243 8.963
P 1.185 7.163 0.728
P 1.848 0.120 1.712
P 1.188 8.022 3.734
P 1.845 0.197 5.671
Cl -0.002 3.294 2.184
Cl 1.190 3.626 7.507
CELL_PARAMETERS angstrom
3.691 0.000 0.000
-0.659 8.968 0.000
-1.844 -2.049 9.691
```

---

Zn2PtPb | GGA-PBE | relaxed Values from VASP.

Formation energy from the elements (eV per atom): -0.097
D(E_F) (states/eV/f.u.): 1.2
Magnetic moment (μB per formula unit): 0.000

Geometry as Quantum ESPRESSO input:
```
&SYSTEM
  ibrav = 0, nat = 4, ntyp = 3
/
ATOMIC_SPECIES
Zn 65.41 Zn.upf
Pt 195.08 Pt.upf
Pb 207.20 Pb.upf
ATOMIC_POSITIONS angstrom
Zn 0.000 0.000 0.000
Zn 1.684 1.684 1.511
Pt 1.684 1.684 5.748
Pb 0.000 0.000 3.725
CELL_PARAMETERS angstrom
3.368 0.000 0.000
0.000 3.368 0.000
0.000 0.000 6.852
```

---

Cr3SiTe | GGA-PBE | relaxed Values from VASP.

Excess energy over the best structure of this formula in the dataset (meV per atom): 650
D(E_F) (states/eV/f.u.): 0.5
Energy relative to the elements, uncorrected (eV/atom): 1.281
Magnetic moment (μB per formula unit): 12.006

Geometry as Quantum ESPRESSO input:
```
&SYSTEM
  ibrav = 0, nat = 5, ntyp = 3
/
ATOMIC_SPECIES
Cr 52.00 Cr.upf
Si 28.09 Si.upf
Te 127.60 Te.upf
ATOMIC_POSITIONS angstrom
Cr 0.000 0.000 2.536
Cr 0.000 2.536 0.000
Cr 2.536 0.000 0.000
Si 2.536 2.536 2.536
Te 0.000 0.000 0.000
CELL_PARAMETERS angstrom
5.071 0.000 0.000
0.000 5.071 0.000
0.000 0.000 5.071
```

---

SrSm3Rh8 | GGA-PBE | relaxed Values from VASP.

Formation energy from the elements (eV per atom): -0.589
D(E_F) (states/eV/f.u.): 9.1
Magnetic moment (μB per formula unit): 0.000

Geometry as Quantum ESPRESSO input:
```
&SYSTEM
  ibrav = 0, nat = 12, ntyp = 3
/
ATOMIC_SPECIES
Sr 87.62 Sr.upf
Sm 150.36 Sm.upf
Rh 102.91 Rh.upf
ATOMIC_POSITIONS angstrom
Sr 0.000 0.000 0.000
Sm 0.000 0.000 9.926
Sm 0.000 0.000 13.271
Sm 0.000 0.000 23.270
Rh 0.000 0.000 4.970
Rh 0.000 -1.554 16.008
Rh -1.345 0.777 16.008
Rh -1.343 -0.775 20.509
Rh 0.000 0.000 18.265
Rh 1.345 0.777 16.008
Rh 1.343 -0.775 20.509
Rh 0.000 1.550 20.509
CELL_PARAMETERS angstrom
2.701 1.559 8.859
-2.701 1.559 8.859
0.000 -3.119 8.859
```

---

ErMg11Pd | GGA-PBE | relaxed Values from VASP.

Formation energy from the elements (eV per atom): -0.131
D(E_F) (states/eV/f.u.): 6.6
Magnetic moment (μB per formula unit): 0.000

Geometry as Quantum ESPRESSO input:
```
&SYSTEM
  ibrav = 0, nat = 13, ntyp = 3
/
ATOMIC_SPECIES
Er 167.26 Er.upf
Mg 24.30 Mg.upf
Pd 106.42 Pd.upf
ATOMIC_POSITIONS angstrom
Er 0.000 0.000 0.000
Mg -1.329 0.000 3.580
Mg 1.407 3.599 0.000
Mg 0.101 2.424 2.574
Mg 0.194 1.466 5.609
Mg 0.101 -2.424 2.574
Mg 2.777 1.466 1.552
Mg 1.407 -3.599 0.000
Mg 0.194 -1.466 5.609
Mg 2.870 2.424 4.586
Mg 2.777 -1.466 1.552
Mg 2.870 -2.424 4.586
Pd 1.485 0.000 3.580
CELL_PARAMETERS angstrom
2.814 -7.199 0.000
2.814 7.199 0.000
-2.658 0.000 7.160
```